# 1
DFT (PBE) results for a relaxed Li2HgPt crystal.

```
Li2HgPt
1.0
4.5479 0.0362 -0.0060
-1.0464 4.4260 -0.0060
0.0034 0.0043 3.0372
Li Pt Hg
2 1 1
Direct
0.0000 0.0000 0.0000
0.5000 0.5000 0.0000
0.5000 0.0000 0.5000
0.0000 0.5000 0.5000
```

Results
- Magnetization: 0.00 μB/f.u.
- Electronic total energy: -12.0 eV for the cell shown
- Formation energy from the elements: -0.446 eV/atom
- Fermi-level density of states: 0.8 states/eV per cell
- Calculated volume: 15.31 Å³/atom

# 2
DFT (PBE) results for a relaxed SrCa2Mo crystal.

```
SrCa2Mo
1.0
7.7922 0.0000 0.0000
0.0000 7.7922 0.0000
3.8961 3.8961 5.7656
Ca Mo Sr
4 2 2
Direct
0.8750 0.1250 0.7500
0.8750 0.6250 0.2500
0.3750 0.1250 0.7500
0.8750 0.1250 0.2500
0.0000 0.0000 0.0000
0.7500 0.2500 0.5000
0.2500 0.7500 0.5000
0.5000 0.5000 0.0000
```

Results
- Magnetization: 0.00 μB/f.u.
- Electronic total energy: -21.6 eV for the cell shown
- Formation energy from the elements: 1.429 eV/atom
- Fermi-level density of states: 9.5 states/eV per cell
- Calculated volume: 43.76 Å³/atom

# 3
DFT (PBE) results for a relaxed BiAuIO2 crystal.

```
BiAuIO2
1.0
-0.6058 -1.6183 -3.8328
-3.7057 -1.5509 1.2405
-3.2344 6.0828 -2.0571
Au O Bi I
1 2 1 1
Direct
0.5000 0.5000 0.5000
0.5000 0.0000 0.0000
0.0000 0.5000 0.0000
0.0000 0.0000 0.0000
0.0000 0.0000 0.5000
```

Results
- Magnetization: 0.00 μB/f.u.
- Electronic total energy: -19.4 eV for the cell shown
- Fermi-level density of states: 1.3 states/eV per cell
- Formation energy from raw total energies: -0.154 eV/atom
- Calculated volume: 25.42 Å³/atom

# 4
DFT (PBE) results for a relaxed LiLaCdAu2 crystal.

```
LiLaCdAu2
1.0
4.0921 0.0000 0.0000
0.0000 4.0921 0.0000
-2.0461 -2.0461 6.7897
Li La Au Cd
1 1 2 1
Direct
0.2500 0.7500 0.5000
0.0000 0.0000 0.0000
0.3951 0.3951 0.7902
0.6049 0.6049 0.2098
0.7500 0.2500 0.5000
```

Results
- Magnetization: 0.00 μB/f.u.
- Electronic total energy: -17.4 eV for the cell shown
- Formation energy from the elements: -0.621 eV/atom
- Fermi-level density of states: 3.2 states/eV per cell
- Calculated volume: 22.74 Å³/atom